1.
YPPt2 at its PBEsol-relaxed geometry. Source: the Alexandria database, functional SCAN.

a = 3.3577 Å, b = 4.4900 Å, c = 8.9139 Å
α = 90.00°, β = 90.00°, γ = 90.00°
Positions (direct):
Y (0.0000, 0.0000, 0.0000)
Y (0.5000, 0.5000, 0.5000)
P (0.0000, 0.0000, 0.5000)
P (0.5000, 0.5000, 0.0000)
Pt (0.0000, 0.5000, 0.2163)
Pt (0.0000, 0.5000, 0.7837)
Pt (0.5000, 0.0000, 0.2837)
Pt (0.5000, 0.0000, 0.7163)

Computed properties:
- formation energy (eV per atom) = -0.867



2.
YPPt3 at its PBEsol-relaxed geometry. Source: the Alexandria database, functional SCAN.

a = 4.5328 Å, b = 4.5328 Å, c = 4.5328 Å
α = 90.00°, β = 90.00°, γ = 90.00°
Positions (direct):
Y (0.0000, 0.0000, 0.0000)
P (0.5000, 0.5000, 0.5000)
Pt (0.0000, 0.5000, 0.5000)
Pt (0.5000, 0.0000, 0.5000)
Pt (0.5000, 0.5000, 0.0000)

Computed properties:
- formation energy (eV per atom) = -0.766